This record from Alexandria describes a geometry-optimized SrCo2Rh structure. The functional is PBE.

Volume: 66 Å³/f.u.
Formation enthalpy at 0 K: 0.607 eV per atom
Total DFT energy (no corrections): -5.204 eV/atom

Structure (POSCAR):
```
SrCo2Rh
1.0
-0.0373 4.2647 -1.5963
0.1480 -1.5950 -4.2628
-3.1923 -0.0609 -0.0881
Co Rh Sr
2 1 1
Cartesian
0.0000 0.0000 0.0000
0.0553 1.3349 -2.9295
-1.6148 2.1019 -0.8422
-1.5222 -0.8279 -2.1754
```